# 1
# Zr2CuTe, relaxed, DFT GGA-PBEsol
data_Zr2CuTe
_space_group_name_H-M_alt 'F -4 3 m'
_space_group_IT_number 216
_space_group_name_Hall 'F -4 2 3'
_cell_length_a 6.778
_cell_length_b 6.778
_cell_length_c 6.778
_cell_angle_alpha 90.00
_cell_angle_beta 90.00
_cell_angle_gamma 90.00
loop_
_atom_site_label
_atom_site_fract_x
_atom_site_fract_y
_atom_site_fract_z
Zr1 0.000 0.000 0.000
Zr2 0.250 0.250 0.250
Cu1 0.000 0.000 0.500
Te1 0.250 0.250 0.750
# * crystal system: cubic
# * E_form (uncorrected): 0.203 eV per atom

# 2
# ZrCu2Te3, relaxed, DFT GGA-PBEsol
data_ZrCu2Te3
_space_group_name_H-M_alt 'C 1 2/m 1'
_space_group_IT_number 12
_space_group_name_Hall '-C 2y'
_cell_length_a 20.165
_cell_length_b 4.004
_cell_length_c 7.208
_cell_angle_alpha 90.00
_cell_angle_beta 98.46
_cell_angle_gamma 90.00
loop_
_atom_site_label
_atom_site_fract_x
_atom_site_fract_y
_atom_site_fract_z
Zr1 0.146 0.000 0.050
Cu1 0.049 0.500 0.147
Cu2 0.214 0.000 0.424
Te1 0.079 0.500 0.811
Te2 0.084 0.000 0.367
Te3 0.250 0.000 0.782
# * crystal system: monoclinic
# * E_form (uncorrected): -0.497 eV per atom

# 3
# ZrCuTe, relaxed, DFT GGA-PBEsol
data_ZrCuTe
_space_group_name_H-M_alt 'I 4 m m'
_space_group_IT_number 107
_space_group_name_Hall 'I 4 -2'
_cell_length_a 3.514
_cell_length_b 3.514
_cell_length_c 9.252
_cell_angle_alpha 90.00
_cell_angle_beta 90.00
_cell_angle_gamma 90.00
loop_
_atom_site_label
_atom_site_fract_x
_atom_site_fract_y
_atom_site_fract_z
Zr1 0.000 0.000 0.000
Cu1 0.000 0.000 0.663
Te1 0.000 0.000 0.321
# * crystal system: tetragonal
# * E_form (uncorrected): -0.288 eV per atom

# 4
# Zr2CuTe, relaxed, DFT GGA-PBEsol
data_Zr2CuTe
_space_group_name_H-M_alt 'P 4/m m m'
_space_group_IT_number 123
_space_group_name_Hall '-P 4 2'
_cell_length_a 4.720
_cell_length_b 4.720
_cell_length_c 3.472
_cell_angle_alpha 90.00
_cell_angle_beta 90.00
_cell_angle_gamma 90.00
loop_
_atom_site_label
_atom_site_fract_x
_atom_site_fract_y
_atom_site_fract_z
Zr1 0.000 0.500 0.000
Cu1 0.000 0.000 0.500
Te1 0.500 0.500 0.500
# * crystal system: tetragonal
# * E_form (uncorrected): -0.307 eV per atom

# 5
# ThCu2, relaxed, DFT GGA-PBEsol
data_ThCu2
_space_group_name_H-M_alt 'P 6/m m m'
_space_group_IT_number 191
_space_group_name_Hall '-P 6 2'
_cell_length_a 4.3209
_cell_length_b 4.3209
_cell_length_c 3.4402
_cell_angle_alpha 90.00
_cell_angle_beta 90.00
_cell_angle_gamma 120.00
loop_
_atom_site_label
_atom_site_fract_x
_atom_site_fract_y
_atom_site_fract_z
Th1 0.0000 0.0000 0.0000
Cu1 0.3333 0.6667 0.5000
# * crystal system: hexagonal

# 6
# TiCu4, relaxed, DFT GGA-PBEsol
data_TiCu4
_space_group_name_H-M_alt 'P n m a'
_space_group_IT_number 62
_space_group_name_Hall '-P 2ac 2n'
_cell_length_a 4.452
_cell_length_b 4.273
_cell_length_c 12.747
_cell_angle_alpha 90.00
_cell_angle_beta 90.00
_cell_angle_gamma 90.00
loop_
_atom_site_label
_atom_site_fract_x
_atom_site_fract_y
_atom_site_fract_z
Ti1 0.154 0.250 0.097
Cu1 0.154 0.250 0.300
Cu2 0.161 0.250 0.503
Cu3 0.174 0.250 0.702
Cu4 0.180 0.250 0.895
# * crystal system: orthorhombic

# 7
# Ti2Cu3, relaxed, DFT GGA-PBEsol
data_Ti2Cu3
_space_group_name_H-M_alt 'P 4/n m m'
_space_group_IT_number 129
_cell_length_a 3.105
_cell_length_b 3.105
_cell_length_c 13.769
_cell_angle_alpha 90.00
_cell_angle_beta 90.00
_cell_angle_gamma 90.00
loop_
_space_group_symop_operation_xyz
'x,y,z'
'-x,-y,-z'
'-y+1/2,x,z'
'y+1/2,-x,-z'
'-x+1/2,-y+1/2,z'
'x+1/2,y+1/2,-z'
'y,-x+1/2,z'
'-y,x+1/2,-z'
'x+1/2,-y,-z'
'-x+1/2,y,z'
'-y,-x,-z'
'y,x,z'
'-x,y+1/2,-z'
'x,-y+1/2,z'
'y+1/2,x+1/2,-z'
'-y+1/2,-x+1/2,z'
loop_
_atom_site_label
_atom_site_fract_x
_atom_site_fract_y
_atom_site_fract_z
Ti1 0.250 0.250 0.061
Ti2 0.250 0.250 0.646
Cu1 0.250 0.250 0.255
Cu2 0.250 0.250 0.455
Cu3 0.250 0.250 0.836
# * crystal system: tetragonal

# 8
# Ti2Cu3, relaxed, DFT GGA-PBEsol
data_Ti2Cu3
_space_group_name_H-M_alt 'I 4/m m m'
_space_group_IT_number 139
_space_group_name_Hall '-I 4 2'
_cell_length_a 3.089
_cell_length_b 3.089
_cell_length_c 13.982
_cell_angle_alpha 90.00
_cell_angle_beta 90.00
_cell_angle_gamma 90.00
loop_
_atom_site_label
_atom_site_fract_x
_atom_site_fract_y
_atom_site_fract_z
Ti1 0.000 0.000 0.105
Cu1 0.000 0.000 0.294
Cu2 0.000 0.000 0.500
# * crystal system: tetragonal

# 9
# TiCu2, relaxed, DFT GGA-PBEsol
data_TiCu2
_space_group_name_H-M_alt 'C m c m'
_space_group_IT_number 63
_space_group_name_Hall '-C 2c 2'
_cell_length_a 7.853
_cell_length_b 4.509
_cell_length_c 4.341
_cell_angle_alpha 90.00
_cell_angle_beta 90.00
_cell_angle_gamma 90.00
loop_
_atom_site_label
_atom_site_fract_x
_atom_site_fract_y
_atom_site_fract_z
Ti1 0.000 0.208 0.250
Cu1 0.173 0.312 0.750
# * crystal system: orthorhombic

# 10
# TiCu, relaxed, DFT GGA-PBEsol
data_TiCu
_space_group_name_H-M_alt 'P m -3 m'
_space_group_IT_number 221
_space_group_name_Hall '-P 4 2 3'
_cell_length_a 3.037
_cell_length_b 3.037
_cell_length_c 3.037
_cell_angle_alpha 90.00
_cell_angle_beta 90.00
_cell_angle_gamma 90.00
loop_
_atom_site_label
_atom_site_fract_x
_atom_site_fract_y
_atom_site_fract_z
Ti1 0.000 0.000 0.000
Cu1 0.500 0.500 0.500
# * crystal system: cubic

# 11
# Ti3Cu4, relaxed, DFT GGA-PBEsol
data_Ti3Cu4
_space_group_name_H-M_alt 'I 4/m m m'
_space_group_IT_number 139
_space_group_name_Hall '-I 4 2'
_cell_length_a 3.096
_cell_length_b 3.096
_cell_length_c 19.599
_cell_angle_alpha 90.00
_cell_angle_beta 90.00
_cell_angle_gamma 90.00
loop_
_atom_site_label
_atom_site_fract_x
_atom_site_fract_y
_atom_site_fract_z
Ti1 0.000 0.000 0.000
Ti2 0.000 0.000 0.293
Cu1 0.000 0.000 0.134
Cu2 0.000 0.000 0.430
# * crystal system: tetragonal

# 12
# TiCu, relaxed, DFT GGA-PBEsol
data_TiCu
_space_group_name_H-M_alt 'P 4/n m m'
_space_group_IT_number 129
_cell_length_a 3.074
_cell_length_b 3.074
_cell_length_c 5.839
_cell_angle_alpha 90.00
_cell_angle_beta 90.00
_cell_angle_gamma 90.00
loop_
_space_group_symop_operation_xyz
'x,y,z'
'-x,-y,-z'
'-y+1/2,x,z'
'y+1/2,-x,-z'
'-x+1/2,-y+1/2,z'
'x+1/2,y+1/2,-z'
'y,-x+1/2,z'
'-y,x+1/2,-z'
'x+1/2,-y,-z'
'-x+1/2,y,z'
'-y,-x,-z'
'y,x,z'
'-x,y+1/2,-z'
'x,-y+1/2,z'
'y+1/2,x+1/2,-z'
'-y+1/2,-x+1/2,z'
loop_
_atom_site_label
_atom_site_fract_x
_atom_site_fract_y
_atom_site_fract_z
Ti1 0.250 0.250 0.145
Cu1 0.250 0.250 0.610
# * crystal system: tetragonal

| no. | magnetic moment (μB/f.u.) | volume (Å³/f.u.) | electronic total energy (eV per cell) |
| --- | --- | --- | --- |
| 1 | 0.247 | 77.8 | -100.91 |
| 2 | 0.000 | 143.9 | -125.27 |
| 3 | 0.000 | 57.1 | -35.63 |
| 4 | 0.000 | 77.3 | -27.27 |
| 5 | 0.000 | 55.6 | -17.30 |
| 6 | 0.000 | 60.6 | -104.57 |
| 7 | 0.322 | 66.4 | -60.54 |
| 8 | 0.764 | 66.7 | -60.08 |
| 9 | 0.002 | 38.4 | -69.34 |
| 10 | 0.847 | 28.0 | -12.74 |
| 11 | 0.363 | 93.9 | -86.45 |
| 12 | 0.000 | 27.6 | -25.87 |